Entry from the Alexandria database: a relaxed YReAg2 crystal (GGA-PBE).

Cell: 4.204 4.219 4.294 Å, 90.00 90.00 90.00°
Fractional coordinates of all 4 atoms:
Y 0.000 0.000 0.000
Re 0.500 0.500 0.000
Ag 0.000 0.500 0.500
Ag 0.500 0.000 0.500

## Properties
- ΔH_f (0 K) (meV per atom) = 389
- excess energy over the best structure of this formula in the dataset (meV per atom) = 5
- crystal system = orthorhombic
- E (eV per cell) = -23.06
- DOS(E_F) (states/eV/f.u.) = 4.36